Record 1
Density functional theory data (PBE) for an optimized crystal structure of CaLa2TlO.

a = 5.0814 Å, b = 5.0814 Å, c = 4.9501 Å
α = 90.00°, β = 90.00°, γ = 90.00°
Positions (direct):
La 0.0000 0.5000 0.0000
La 0.5000 0.0000 0.0000
Tl 0.5000 0.5000 0.5000
O 0.0000 0.0000 0.0000
Ca 0.0000 0.0000 0.5000

Summary:
The calculation puts the density of states at the Fermi level at 0.479 states/eV/atom. For the formation energy without anion corrections, the calculation gives -1.3742 eV/atom.


Record 2
Density functional theory data (PBE) for an optimized crystal structure of CaLaY2O.

a = 4.8899 Å, b = 4.8899 Å, c = 5.5045 Å
α = 90.00°, β = 90.00°, γ = 90.00°
Positions (direct):
Y 0.0000 0.5000 0.0000
Y 0.5000 0.0000 0.0000
La 0.0000 0.0000 0.5000
Ca 0.5000 0.5000 0.5000
O 0.0000 0.0000 0.0000

Summary:
The calculation puts the density of states at the Fermi level at 1.169 states/eV/atom. For the formation energy without anion corrections, the calculation gives -1.0249 eV/atom.


Record 3
Density functional theory data (PBE) for an optimized crystal structure of CaLa2YO.

a = 5.2744 Å, b = 5.2744 Å, c = 4.9163 Å
α = 90.00°, β = 90.00°, γ = 90.00°
Positions (direct):
La 0.0000 0.5000 0.0000
La 0.5000 0.0000 0.0000
Y 0.5000 0.5000 0.5000
O 0.0000 0.0000 0.0000
Ca 0.0000 0.0000 0.5000

Summary:
The value obtained for the energy above the most stable polymorph in this dataset is 0.21 eV/f.u. The calculation puts the density of states at the Fermi level at 1.472 states/eV/atom. For the formation energy without anion corrections, the calculation gives -1.0225 eV/atom.


Record 4
Density functional theory data (PBE) for an optimized crystal structure of CaLa2YO.

a = 5.4376 Å, b = 5.4376 Å, c = 4.7045 Å
α = 90.00°, β = 90.00°, γ = 90.00°
Positions (direct):
La 0.0000 0.5000 0.0000
La 0.5000 0.0000 0.0000
Ca 0.5000 0.5000 0.5000
Y 0.0000 0.0000 0.5000
O 0.0000 0.0000 0.0000

Summary:
The value obtained for the energy above the most stable polymorph in this dataset is 0.00 eV/f.u. The calculation puts the density of states at the Fermi level at 1.203 states/eV/atom. For the formation energy without anion corrections, the calculation gives -1.0642 eV/atom.


Record 5
Density functional theory data (PBE) for an optimized crystal structure of CaLa2ZnO.

a = 5.0817 Å, b = 5.0817 Å, c = 4.7451 Å
α = 90.00°, β = 90.00°, γ = 90.00°
Positions (direct):
Ca 0.0000 0.0000 0.5000
O 0.0000 0.0000 0.0000
La 0.5000 0.0000 0.0000
La 0.0000 0.5000 0.0000
Zn 0.5000 0.5000 0.5000

Summary:
The calculation puts the density of states at the Fermi level at 0.842 states/eV/atom. For the formation energy without anion corrections, the calculation gives -1.2105 eV/atom.


Record 6
Density functional theory data (PBE) for an optimized crystal structure of CaLaZrO2.

a = 4.2660 Å, b = 6.3292 Å, c = 4.2660 Å
α = 90.00°, β = 90.00°, γ = 90.00°
Positions (direct):
Zr 0.0000 0.0000 0.0000
O 0.5000 0.0000 0.0000
O 0.0000 0.0000 0.5000
Ca 0.0000 0.5000 0.0000
La 0.5000 0.5000 0.5000

Summary:
The calculation puts the density of states at the Fermi level at 0.732 states/eV/atom. For the formation energy without anion corrections, the calculation gives -0.9359 eV/atom.


Record 7
Density functional theory data (PBE) for an optimized crystal structure of CaLa2ZrO.

a = 5.4278 Å, b = 5.4278 Å, c = 4.3860 Å
α = 90.00°, β = 90.00°, γ = 90.00°
Positions (direct):
La 0.5000 0.0000 0.0000
La 0.0000 0.5000 0.0000
Zr 0.0000 0.0000 0.5000
O 0.0000 0.0000 0.0000
Ca 0.5000 0.5000 0.5000

Summary:
The value obtained for the energy above the most stable polymorph in this dataset is 0.00 eV/f.u. The calculation puts the density of states at the Fermi level at 0.859 states/eV/atom. For the formation energy without anion corrections, the calculation gives -0.9969 eV/atom.


Record 8
Density functional theory data (PBE) for an optimized crystal structure of CaLa2ZrO.

a = 5.1809 Å, b = 5.1809 Å, c = 4.7059 Å
α = 90.00°, β = 90.00°, γ = 90.00°
Positions (direct):
Ca 0.0000 0.0000 0.5000
Zr 0.5000 0.5000 0.5000
La 0.0000 0.5000 0.0000
La 0.5000 0.0000 0.0000
O 0.0000 0.0000 0.0000

Summary:
The value obtained for the energy above the most stable polymorph in this dataset is 0.15 eV/f.u. The calculation puts the density of states at the Fermi level at 1.035 states/eV/atom. For the formation energy without anion corrections, the calculation gives -0.9664 eV/atom.


Record 9
Density functional theory data (PBE) for an optimized crystal structure of CaLa2Os.

a = 4.2190 Å, b = 4.2190 Å, c = 9.8129 Å
α = 77.59°, β = 77.59°, γ = 60.00°
Positions (direct):
La 0.0516 0.0516 0.8452
La 0.2810 0.2810 0.1570
Ca 0.5015 0.5015 0.4955
Os 0.6659 0.6659 0.0023

Summary:
The value obtained for the energy above the most stable polymorph in this dataset is 0.06 eV/f.u. The calculated formation energy comes out at -0.2 eV/f.u. The calculation puts the density of states at the Fermi level at 0.817 states/eV/atom.


Record 10
Density functional theory data (PBE) for an optimized crystal structure of CaLa3Os.

a = 5.7107 Å, b = 8.3556 Å, c = 7.9197 Å
α = 90.00°, β = 90.00°, γ = 90.00°
Positions (direct):
La 0.3000 0.8997 0.2578
La 0.3000 0.9002 0.7422
La 0.3000 0.3997 0.7421
La 0.8007 0.6504 0.4993
La 0.7993 0.1503 0.5007
La 0.3000 0.4003 0.2579
Os 0.3010 0.6499 0.5005
Os 0.2990 0.1499 0.4995
Ca 0.7998 0.6498 0.9990
Ca 0.8001 0.1497 0.0010

Summary:
The value obtained for the energy above the most stable polymorph in this dataset is 0.06 eV/f.u. The calculated formation energy comes out at -0.4 eV/f.u. The calculation puts the density of states at the Fermi level at 1.200 states/eV/atom.